This record from Alexandria via LeMat-Bulk describes a relaxed NbTlCr2O8 crystal. The functional is GGA+U.

```
data_NbTlCr2O8
_chemical_formula_sum 'Nb1 Tl1 Cr2 O8'
_cell_length_a 5.430
_cell_length_b 5.430
_cell_length_c 8.112
_cell_angle_alpha 86.60
_cell_angle_beta 86.60
_cell_angle_gamma 63.31
_symmetry_space_group_name_H-M 'P 1'
_symmetry_Int_Tables_number 1
loop_
_symmetry_equiv_pos_as_xyz
'x,y,z'
loop_
_atom_site_label
_atom_site_type_symbol
_atom_site_fract_x
_atom_site_fract_y
_atom_site_fract_z
O1 O 0.209 0.714 0.828
O2 O 0.312 0.312 0.596
O3 O 0.688 0.688 0.404
O4 O 0.204 0.204 0.918
O5 O 0.791 0.286 0.172
O6 O 0.714 0.209 0.828
O7 O 0.286 0.791 0.172
O8 O 0.796 0.796 0.082
Nb1 Nb 0.000 0.000 0.000
Cr1 Cr 0.637 0.637 0.216
Cr2 Cr 0.363 0.363 0.784
Tl1 Tl 0.000 0.000 0.500
```

N(E_F) ... 1.1 states/eV/cell
SG ... C2/m (12)
Calculated total energy ... -86.02 eV for the cell shown
V ... 213 Å³ per cell